# 1
Here is an optimized crystal structure of Sm12Ni6Sb from the Alexandria database. Energies are from PBE.

Lattice parameters (Å, degrees): 9.9465 9.9465 9.9465 90.00 90.00 90.00
With the nearest neighbours (Å) after each atom.
Space group Im-3 (No. 204)
One atom of each set of equivalent atoms:
Sm1 0.0000 0.1872 0.3068 x24  3 Ni 2.70-2.94
Ni1 0.0000 0.3780 0.5000 x12  1 Ni 2.43, 2 Sm 2.70
Sb1 0.0000 0.0000 0.0000 x2  12 Sm 3.57

Results
uncorrected formation energy: -0.359 eV per atom
total magnetic moment: 0.00 μB per formula unit

---

# 2
Here is an optimized crystal structure of ReB2Os2 from the Alexandria database. Energies are from PBE.

Lattice parameters (Å, degrees): 3.7722 3.7722 8.3216 90.00 90.00 90.00
With the nearest neighbours (Å) after each atom.
Space group I4/mmm (No. 139)
One atom of each set of equivalent atoms:
Re1 0.0000 0.0000 0.0000 x2  8 Os 2.81, 8 B 2.81
B1 0.0000 0.0000 0.3928 x4  1 B 1.78
Os1 0.0000 0.5000 0.2500 x4  4 B 2.23

Results
total magnetic moment: 1.08 μB per formula unit
formation energy: 0.415 eV/atom

---

# 3
Here is an optimized crystal structure of YHoCd4 from the Alexandria database. Energies are from PBE.

Lattice parameters (Å, degrees): 3.4501 4.9709 8.5786 90.00 90.06 90.00
With the nearest neighbours (Å) after each atom.
Space group P2/m (No. 10)
One atom of each set of equivalent atoms:
Y1 0.0000 0.0000 0.0000 x1  12 Cd 3.34-3.35, 2 Y 3.45
Ho1 0.0000 0.5000 0.5000 x1  12 Cd 3.33-3.35, 2 Ho 3.45
Cd1 0.4990 0.0000 0.3334 x2  3 Cd 2.86
Cd2 0.5002 0.5000 0.1677 x2  3 Cd 2.86-2.88

Results
total magnetic moment: 0.00 μB per formula unit
formation energy: -0.324 eV/atom

---

# 4
Here is an optimized crystal structure of Tl3In8Pb3 from the Alexandria database. Energies are from PBE.

Lattice parameters (Å, degrees): 4.8865 11.9137 14.6419 90.00 90.00 90.00
With the nearest neighbours (Å) after each atom.
Space group Immm (No. 71)
One atom of each set of equivalent atoms:
Tl1 0.0000 0.0000 0.0000 x2  8 In 3.59
Tl2 0.0000 0.0000 0.2977 x4  10 In 3.57-3.93, 4 Pb 3.72-3.84
In1 0.0000 0.2811 0.1571 x8  3 In 3.05-3.10, 2 Pb 3.37
In2 0.0000 0.3783 0.3501 x8  4 In 2.90-3.10, 1 Pb 3.15
Pb1 0.0000 0.1884 0.5000 x4  6 In 3.15-3.37, 2 Pb 3.32
Pb2 0.0000 0.5000 0.0000 x2  4 Pb 3.32, 4 In 3.48

Results
total magnetic moment: 0.00 μB per formula unit
formation energy: 0.046 eV/atom

---

# 5
Here is an optimized crystal structure of NaYAu4 from the Alexandria database. Energies are from PBE.

Lattice parameters (Å, degrees): 7.9372 7.9372 7.9372 90.00 90.00 90.00
With the nearest neighbours (Å) after each atom.
Space group F-43m (No. 216)
One atom of each set of equivalent atoms:
Na1 0.0000 0.0000 0.0000 x4  12 Au 3.29, 4 Y 3.44
Y1 0.2500 0.2500 0.7500 x4  12 Au 3.29, 4 Na 3.44
Au1 0.1254 0.1254 0.3746 x16  6 Au 2.80-2.82

Results
total magnetic moment: 0.00 μB per formula unit
formation energy: -0.437 eV/atom

---

# 6
Here is an optimized crystal structure of LiEr2S3 from the Alexandria database. Energies are from PBE.

Lattice parameters (Å, degrees): 3.8295 5.4334 11.5191 90.00 90.00 90.00
With the nearest neighbours (Å) after each atom.
Space group Immm (No. 71)
One atom of each set of equivalent atoms:
Li1 0.0000 0.0000 0.0000 x2  6 S 2.69-2.72
Er1 0.0000 0.0000 0.3351 x4  6 S 2.70-2.75
S1 0.0000 0.5000 0.0000 x2  4 Er 2.70, 2 Li 2.72
S2 0.0000 0.5000 0.3366 x4  2 Li 2.69, 4 Er 2.72-2.75

Results
uncorrected formation energy: -1.902 eV per atom
total magnetic moment: 0.00 μB per formula unit

---

# 7
Here is an optimized crystal structure of BaPbS2O8 from the Alexandria database. Energies are from PBE.

Lattice parameters (Å, degrees): 5.5731 7.2247 8.8208 90.00 90.00 90.00
With the nearest neighbours (Å) after each atom.
Space group Pmc2_1 (No. 26)
One atom of each set of equivalent atoms:
Ba1 0.0000 0.0939 0.0000 x2  8 O 2.77-2.94
Pb1 0.5000 0.4263 0.3979 x2  4 O 2.53-2.62
S1 0.0000 0.4338 0.6164 x2  4 O 1.47-1.52
S2 0.5000 0.0715 0.7457 x2  4 O 1.49-1.50
O1 0.0000 0.2937 0.4934 x2  1 S 1.48
O2 0.0000 0.3536 0.7691 x2  1 S 1.47
O3 0.2193 0.4439 0.0975 x4  1 S 1.52
O4 0.2819 0.0475 0.2620 x4  1 S 1.50
O5 0.5000 0.1579 0.5928 x2  1 S 1.49
O6 0.5000 0.2125 0.8704 x2  1 S 1.50

Results
uncorrected formation energy: -1.838 eV per atom
total magnetic moment: 0.00 μB per formula unit

---

# 8
Here is an optimized crystal structure of PuCdRuPt from the Alexandria database. Energies are from PBE.

Lattice parameters (Å, degrees): 6.6948 6.6948 6.6948 90.00 90.00 90.00
With the nearest neighbours (Å) after each atom.
Space group F-43m (No. 216)
One atom of each set of equivalent atoms:
Pu1 0.0000 0.0000 0.0000 x4  4 Ru 2.90, 4 Pt 2.90
Cd1 0.0000 0.0000 0.5000 x4  4 Ru 2.90, 4 Pt 2.90
Ru1 0.2500 0.2500 0.7500 x4  4 Cd 2.90, 4 Pu 2.90
Pt1 0.2500 0.2500 0.2500 x4  4 Cd 2.90, 4 Pu 2.90

Results
total magnetic moment: 4.17 μB per formula unit
formation energy: -0.235 eV/atom

---

# 9
Here is an optimized crystal structure of PrScBi3 from the Alexandria database. Energies are from PBE.

Lattice parameters (Å, degrees): 13.9134 6.4922 6.7198 90.00 90.00 90.00
With the nearest neighbours (Å) after each atom.
Space group Pbcm (No. 57)
One atom of each set of equivalent atoms:
Pr1 0.1826 0.0120 0.2500 x4  9 Bi 3.35-3.52
Sc1 0.4025 0.7500 0.0000 x4  6 Bi 3.00-3.07, 2 Sc 3.36
Bi1 0.0032 0.7500 0.0000 x4  4 Bi 3.25-3.36, 4 Pr 3.45-3.46
Bi2 0.2582 0.5027 0.2500 x4  2 Sc 3.07, 1 Pr 3.35, 1 Bi 3.37
Bi3 0.4266 0.1294 0.2500 x4  4 Sc 3.00-3.02

Results
total magnetic moment: 0.00 μB per formula unit
formation energy: -0.615 eV/atom

---

# 10
Here is an optimized crystal structure of NdTm6Te8 from the Alexandria database. Energies are from PBE.

Lattice parameters (Å, degrees): 12.1505 12.1505 12.1505 90.00 90.00 90.00
With the nearest neighbours (Å) after each atom.
Space group Fm-3m (No. 225)
One atom of each set of equivalent atoms:
Nd1 0.0000 0.0000 0.0000 x4  6 Te 3.20
Tm1 0.0000 0.2500 0.2500 x24  6 Te 3.04
Te1 0.0000 0.0000 0.2632 x24  4 Tm 3.04, 1 Nd 3.20
Te2 0.2500 0.2500 0.2500 x8  6 Tm 3.04

Results
uncorrected formation energy: -1.294 eV per atom
total magnetic moment: 0.00 μB per formula unit

---

# 11
Here is an optimized crystal structure of LaRuBr2 from the Alexandria database. Energies are from PBE.

Lattice parameters (Å, degrees): 6.2374 7.2658 4.3777 90.00 90.00 90.00
With the nearest neighbours (Å) after each atom.
Space group Cmmm (No. 65)
One atom of each set of equivalent atoms:
La1 0.0000 0.0000 0.0000 x2  4 Br 3.02, 2 Ru 3.12
Ru1 0.0000 0.5000 0.0000 x2  4 Br 2.69
Br1 0.0000 0.2856 0.5000 x4  2 Ru 2.69

Results
uncorrected formation energy: -0.441 eV per atom
total magnetic moment: 0.99 μB per formula unit

---

# 12
Here is an optimized crystal structure of MnCrP4 from the Alexandria database. Energies are from PBE.

Lattice parameters (Å, degrees): 7.1286 7.1286 7.1286 90.00 90.00 90.00
With the nearest neighbours (Å) after each atom.
Space group F-43m (No. 216)
One atom of each set of equivalent atoms:
Mn1 0.0000 0.0000 0.0000 x4  12 P 2.95, 4 Cr 3.09
Cr1 0.2500 0.2500 0.7500 x4  12 P 2.96, 4 Mn 3.09
P1 0.1274 0.1274 0.3726 x16  6 P 2.47-2.57

Results
total magnetic moment: 7.95 μB per formula unit
formation energy: 0.695 eV/atom

---

# 13
Here is an optimized crystal structure of Sc5Sn2C from the Alexandria database. Energies are from PBE.

Lattice parameters (Å, degrees): 4.8282 15.2700 11.3155 90.00 90.00 90.00
With the nearest neighbours (Å) after each atom.
Space group Cmcm (No. 63)
One atom of each set of equivalent atoms:
Sc1 0.0000 0.0709 0.1170 x8  1 C 2.20
Sc2 0.0000 0.2709 0.0887 x8  1 C 2.33
Sc3 0.0000 0.3088 0.7500 x4  2 C 2.43
Sn1 0.0000 0.1270 0.6210 x8  5 Sc 2.83-3.14, 1 Sn 2.92
C1 0.0000 0.1761 0.2500 x4  6 Sc 2.20-2.43

Results
total magnetic moment: 1.39 μB per formula unit
formation energy: -0.118 eV/atom

---

# 14
Here is an optimized crystal structure of Cd2HgAs from the Alexandria database. Energies are from PBE.

Lattice parameters (Å, degrees): 7.1557 7.1557 7.1557 90.00 90.00 90.00
With the nearest neighbours (Å) after each atom.
Space group Fm-3m (No. 225)
One atom of each set of equivalent atoms:
Cd1 0.2500 0.2500 0.2500 x8  4 Hg 3.10, 4 As 3.10
Hg1 0.0000 0.0000 0.0000 x4  8 Cd 3.10
As1 0.0000 0.0000 0.5000 x4  8 Cd 3.10

Results
total magnetic moment: 0.00 μB per formula unit
formation energy: 0.113 eV/atom

---

# 15
Here is an optimized crystal structure of Al2IrBr from the Alexandria database. Energies are from PBE.

Lattice parameters (Å, degrees): 14.8811 3.2897 3.0236 90.00 90.03 90.00
With the nearest neighbours (Å) after each atom.
Space group Cm (No. 8)
One atom of each set of equivalent atoms:
Al1 0.0000 0.0000 0.0000 x2  4 Ir 2.64, 1 Al 2.76, 2 Br 2.77
Al2 0.1855 0.0000 0.0008 x2  1 Br 2.45, 4 Ir 2.61
Ir1 0.0949 0.5000 0.5003 x2  8 Al 2.61-2.64
Br1 0.3502 0.0000 0.9983 x2  1 Al 2.45

Results
uncorrected formation energy: -0.513 eV per atom
total magnetic moment: 0.00 μB per formula unit

---

# 16
Here is an optimized crystal structure of PdPt12Rh5 from the Alexandria database. Energies are from PBE.

Lattice parameters (Å, degrees): 14.4102 8.3422 4.8269 90.00 109.40 90.00
With the nearest neighbours (Å) after each atom.
Space group C2/m (No. 12)
One atom of each set of equivalent atoms:
Pd1 0.0000 0.0000 0.0000 x2  10 Pt 2.77-2.80, 2 Rh 2.81
Pt1 0.0000 0.1668 0.5000 x4  7 Pt 2.78-2.80, 3 Rh 2.78, 2 Pd 2.79
Pt2 0.0000 0.3358 0.0000 x4  7 Pt 2.74-2.80, 4 Rh 2.76-2.78, 1 Pd 2.80
Pt3 0.1664 0.3345 0.4992 x8  7 Pt 2.76-2.80, 5 Rh 2.76-2.79
Pt4 0.1671 0.1655 0.0012 x8  7 Pt 2.76-2.80, 4 Rh 2.76-2.80, 1 Pd 2.77
Rh1 0.0000 0.5000 0.5000 x2  10 Pt 2.77-2.78, 2 Rh 2.77
Rh2 0.1664 0.5000 0.9982 x4  10 Pt 2.76-2.79, 2 Rh 2.76-2.77
Rh3 0.1679 0.0000 0.5058 x4  1 Rh 2.76, 10 Pt 2.76-2.80, 1 Pd 2.81

Results
total magnetic moment: 0.01 μB per formula unit
formation energy: -0.028 eV/atom

---

# 17
Here is an optimized crystal structure of Er2BeAlPt6 from the Alexandria database. Energies are from PBE.

Lattice parameters (Å, degrees): 5.6243 5.6243 19.9110 90.00 90.00 120.00
With the nearest neighbours (Å) after each atom.
Space group R-3m (No. 166, hexagonal axes)
One atom of each set of equivalent atoms:
Er1 0.0000 0.0000 0.2083 x6  9 Pt 3.00-3.17, 3 Al 3.35
Be1 0.0000 0.0000 0.0000 x3  6 Pt 2.19
Al1 0.0000 0.0000 0.5000 x3  6 Pt 2.47
Pt1 0.0061 0.5031 0.2611 x18  1 Be 2.19

Results
total magnetic moment: 0.00 μB per formula unit
formation energy: -0.952 eV/atom

---

# 18
Here is an optimized crystal structure of Tm8RuRh2 from the Alexandria database. Energies are from PBE.

Lattice parameters (Å, degrees): 16.9178 4.9006 6.7047 90.00 107.61 90.00
With the nearest neighbours (Å) after each atom.
Space group C2/m (No. 12)
One atom of each set of equivalent atoms:
Tm1 0.0317 0.0000 0.2934 x4  1 Rh 2.87, 2 Ru 2.94
Tm2 0.0938 0.5000 0.9458 x4  1 Ru 2.93, 2 Rh 3.13
Tm3 0.1669 0.5000 0.4659 x4  3 Rh 2.78-3.10, 1 Ru 2.90
Tm4 0.2012 0.0000 0.8111 x4  1 Rh 2.70
Ru1 0.0000 0.5000 0.5000 x2  8 Tm 2.90-2.94
Rh1 0.1869 0.0000 0.2020 x4  3 Tm 2.70-2.87

Results
total magnetic moment: 0.00 μB per formula unit
formation energy: -0.478 eV/atom

---

# 19
Here is an optimized crystal structure of CaMg2Cu4 from the Alexandria database. Energies are from PBE.

Lattice parameters (Å, degrees): 6.6628 6.6628 5.4452 90.00 90.00 90.00
With the nearest neighbours (Å) after each atom.
Space group I4/mmm (No. 139)
One atom of each set of equivalent atoms:
Ca1 0.0000 0.0000 0.0000 x2  12 Cu 2.96-3.24
Mg1 0.0000 0.5000 0.2500 x4  2 Mg 2.72, 8 Cu 2.79
Cu1 0.1854 0.1854 0.5000 x8  2 Cu 2.47

Results
total magnetic moment: 0.00 μB per formula unit
formation energy: -0.103 eV/atom

---

# 20
Here is an optimized crystal structure of Be2ReMo from the Alexandria database. Energies are from PBE.

Lattice parameters (Å, degrees): 3.2327 3.1566 8.8244 90.00 90.00 90.00
With the nearest neighbours (Å) after each atom.
Space group Amm2 (No. 38)
One atom of each set of equivalent atoms:
Be1 0.0000 0.0000 0.0000 x2  2 Be 2.01
Be2 0.5000 0.0000 0.1348 x2  2 Be 2.01
Re1 0.5000 0.0000 0.4165 x2  7 Be 2.38-2.49
Mo1 0.0000 0.0000 0.7216 x2  7 Be 2.39-2.51

Results
total magnetic moment: 0.00 μB per formula unit
formation energy: -0.241 eV/atom

---

# 21
Here is an optimized crystal structure of Pm6Rh3N from the Alexandria database. Energies are from PBE.

Lattice parameters (Å, degrees): 6.7175 7.3921 11.8561 90.00 122.64 90.00
With the nearest neighbours (Å) after each atom.
Space group P2_1/c (No. 14)
One atom of each set of equivalent atoms:
Pm1 0.0969 0.0461 0.2359 x4  1 N 2.53
Pm2 0.2319 0.6887 0.0734 x4  1 N 2.65, 1 Rh 2.76
Pm3 0.3675 0.1659 0.0612 x4  1 N 2.49
Rh1 0.3050 0.1059 0.7676 x4  6 Pm 2.85-3.18
Rh2 0.5000 0.0000 0.5000 x2  6 Pm 2.76-2.85
N1 0.0000 0.0000 0.0000 x2  6 Pm 2.49-2.65

Results
uncorrected formation energy: -0.713 eV per atom
total magnetic moment: 0.00 μB per formula unit

---

# 22
Here is an optimized crystal structure of TePbW2 from the Alexandria database. Energies are from PBE.

Lattice parameters (Å, degrees): 3.2701 4.8069 11.7660 90.00 90.00 90.00
With the nearest neighbours (Å) after each atom.
Space group Imm2 (No. 44)
One atom of each set of equivalent atoms:
Te1 0.0000 0.0000 0.0000 x2  6 W 3.13-3.19, 2 Te 3.27
Pb1 0.0000 0.5000 0.2202 x2  6 W 2.91-3.11
W1 0.0000 0.0000 0.3874 x2  2 W 2.49
W2 0.0000 0.5000 0.7273 x2  2 W 2.49

Results
uncorrected formation energy: 0.890 eV per atom
total magnetic moment: 0.00 μB per formula unit